GGA-PBE NiMoSe2, optimized geometry; SG = No. 38; ΔE_f (raw) = -0.232 eV/atom; DOS(E_F) = 0.40 states/eV per atom; relative energy among the computed polymorphs = 7.6 kJ per mole of atoms
1.0
-5.348 -0.678 2.847
-3.362 -3.044 4.074
1.028 2.128 2.440
Mo Ni Se
1 1 2
Cartesian
-3.156 -0.293 4.543
-2.066 -0.672 2.049
-0.236 0.110 0.595
-6.064 -1.536 6.854

GGA-PBE MoOs2Rh, optimized geometry; SG = No. 99; DOS(E_F) = 0.90 states/eV per atom; relative energy among the computed polymorphs = 6.4 kJ per mole of atoms; formation energy from the elements = 18 meV/atom
1.0
2.738 0.002 0.000
-0.002 2.738 0.000
0.000 0.000 7.856
Mo Os Rh
1 2 1
Cartesian
1.368 1.370 5.854
0.000 0.000 0.110
1.368 1.370 1.905
0.000 0.000 3.916

GGA-PBE RbYN2F, optimized geometry; SG = No. 123; ΔE_f (raw) = -0.680 eV/atom; DOS(E_F) = 0.55 states/eV per atom; relative energy among the computed polymorphs = 0.0 kJ per mole of atoms
1.0
4.736 0.000 0.000
0.000 4.736 0.000
0.000 0.000 4.509
Y N Rb F
1 2 1 1
Cartesian
0.000 0.000 0.000
0.000 2.368 0.000
2.368 0.000 0.000
2.368 2.368 2.255
0.000 0.000 2.255

GGA-PBE YTa2TcB, optimized geometry; SG = No. 123; DOS(E_F) = 1.43 states/eV per atom; formation energy from the elements = 906 meV/atom
1.0
-0.579 2.362 4.243
-3.708 1.551 -1.369
-2.311 -3.892 1.851
Y B Tc Ta
1 1 1 2
Cartesian
-3.299 0.010 2.363
-1.854 0.775 -0.684
0.000 0.000 0.000
-1.156 -1.946 0.926
-0.289 1.181 2.121

Total magnetic moment, respectively: 0.00, 0.00, 3.00, 0.00 μB per formula unit.
DFT total energy, respectively: -6.13, -10.14, -5.87, -8.54 eV per atom.